# CdCoO2 (PBE with a Hubbard U, optimized geometry)
# volume = 14.18 Å³ per atom
# electronic total energy = -4.803 eV/atom
data_CdCoO2
_chemical_formula_sum 'Cd2 Co2 O4'
_symmetry_space_group_name_H-M 'P -1'
_symmetry_Int_Tables_number 2
_cell_length_a 2.927
_cell_length_b 4.908
_cell_length_c 7.964
_cell_angle_alpha 82.64
_cell_angle_beta 89.90
_cell_angle_gamma 89.98
loop_
_symmetry_equiv_pos_as_xyz
'x,y,z'
'-x,-y,-z'
loop_
_atom_site_label
_atom_site_type_symbol
_atom_site_fract_x
_atom_site_fract_y
_atom_site_fract_z
Cd1 Cd 0.248 0.445 0.153
Co1 Co 0.250 0.751 0.493
O1 O 0.249 0.399 0.630
O2 O 0.251 0.122 0.379